This record from the Alexandria database describes a geometry-optimized ZrMoO5 structure. The functional is PBE with a Hubbard U.

Geometry as POSCAR:
```
ZrMoO5
1.0
4.066 -4.451 0.000
4.066 4.451 0.000
-3.542 0.000 7.068
Zr Mo O
2 2 10
direct
0.000 0.000 0.000
0.000 0.000 0.500
0.359 0.641 0.750
0.641 0.359 0.250
0.046 0.954 0.250
0.219 0.742 0.922
0.258 0.781 0.578
0.271 0.325 0.636
0.325 0.271 0.136
0.675 0.729 0.864
0.729 0.675 0.364
0.742 0.219 0.422
0.781 0.258 0.078
0.954 0.046 0.750
```

Results
- VASP energy (Ry per atom) = -0.591
- space group = C2/c (15)
- total magnetic moment (μB per cell) = 0.000